Entry from Alexandria: a relaxed structure of Ba2HgPt2 (PBE).

Lattice parameters (Å, degrees): 6.201 6.215 8.774 102.42 90.00 119.93
Fractional coordinates of all 10 atoms:
Pt: 0.997 0.284 0.006
Pt: 0.713 0.716 0.494
Ba: 0.496 0.293 0.146
Ba: 0.203 0.707 0.354
Hg: 0.857 0.000 0.250
Pt: 0.003 0.716 0.994
Ba: 0.504 0.707 0.854
Hg: 0.143 0.000 0.750
Pt: 0.287 0.284 0.506
Ba: 0.797 0.293 0.646

Summary:
Uncorrected energy (eV/atom): -3.91
DFT formation energy (meV per atom): -663